# 1
# HfGaTcGe2 PBE-GGA optimized geometry
data_HfGaTcGe2
_symmetry_space_group_name_H-M 'P 1'
_symmetry_Int_Tables_number 1
_cell_length_a 5.082
_cell_length_b 5.082
_cell_length_c 5.107
_cell_angle_alpha 90.00
_cell_angle_beta 90.00
_cell_angle_gamma 90.00
loop_
_symmetry_equiv_pos_as_xyz
'x,y,z'
loop_
_atom_site_label
_atom_site_fract_x
_atom_site_fract_y
_atom_site_fract_z
_atom_site_occupancy
Hf1 0.000 0.000 0.000 1
Ga1 0.000 0.000 0.500 1
Tc1 0.500 0.500 0.500 1
Ge1 0.000 0.500 0.000 1
Ge2 0.500 0.000 0.000 1
# Total magnetic moment in μB per cell: 4.11
# DFT formation energy in eV per atom: 1.18


# 2
# Ga4HgGe PBE-GGA optimized geometry
data_Ga4HgGe
_symmetry_space_group_name_H-M 'P 1'
_symmetry_Int_Tables_number 1
_cell_length_a 5.599
_cell_length_b 5.599
_cell_length_c 5.599
_cell_angle_alpha 60.00
_cell_angle_beta 60.00
_cell_angle_gamma 60.00
loop_
_symmetry_equiv_pos_as_xyz
'x,y,z'
loop_
_atom_site_label
_atom_site_fract_x
_atom_site_fract_y
_atom_site_fract_z
_atom_site_occupancy
Ga1 0.125 0.125 0.125 1
Ga2 0.125 0.125 0.626 1
Ga3 0.125 0.626 0.125 1
Ga4 0.626 0.125 0.125 1
Hg1 0.500 0.500 0.500 1
Ge1 0.750 0.750 0.750 1
# Total magnetic moment in μB per cell: 0.00
# DFT formation energy in eV per atom: 0.18